Record 1
{
  "formula": "Rb2Sr2Rh",
  "functional": "PBE",
  "state": "optimized geometry",
  "e_form_mev_per_atom": 182.0,
  "dos_ef_per_ev_atom": 0.636,
  "final_energy_ev_per_atom": -2.3480,
  "lattice_angstrom": [[8.086, 0.000, 0.000], [0.000, 8.086, 0.000], [0.000, 0.000, 7.605]],
  "species": ["Rb", "Rb", "Rb", "Rb", "Sr", "Sr", "Sr", "Sr", "Rh", "Rh"],
  "fractional_positions": [[0.188, 0.312, 0.000], [0.312, 0.812, 0.000], [0.688, 0.188, 0.000], [0.812, 0.688, 0.000], [0.186, 0.686, 0.500], [0.314, 0.186, 0.500], [0.686, 0.814, 0.500], [0.814, 0.314, 0.500], [0.000, 0.000, 0.500], [0.500, 0.500, 0.500]]
}


Record 2
{
  "formula": "KReAu2",
  "functional": "PBE",
  "state": "optimized geometry",
  "e_form_mev_per_atom": 579.6,
  "dos_ef_per_ev_atom": 0.399,
  "final_energy_ev_per_atom": -4.4455,
  "polymorph_energy_kj_per_mol_atoms": 9.4,
  "lattice_angstrom": [[5.583, -1.355, 0.000], [5.583, 1.355, 0.000], [-0.021, 0.000, 5.254]],
  "species": ["K", "Re", "Au", "Au"],
  "fractional_positions": [[0.000, 0.000, 0.000], [0.268, 0.268, 0.498], [0.538, 0.538, 0.500], [0.749, 0.749, 0.997]]
}


Record 3
{
  "formula": "Li2FeN2",
  "functional": "PBE",
  "state": "optimized geometry",
  "e_form_raw_ev_per_atom": -0.16,
  "dos_ef_per_ev_atom": 0.308,
  "final_energy_ev_per_atom": -5.9467,
  "lattice_angstrom": [[1.305, -4.853, 0.000], [1.305, 4.853, 0.000], [0.000, 0.000, 7.544]],
  "species": ["Li", "Li", "Li", "Li", "Fe", "Fe", "N", "N", "N", "N"],
  "fractional_positions": [[0.116, 0.884, 0.500], [0.364, 0.636, 0.675], [0.636, 0.364, 0.175], [0.884, 0.116, 0.000], [0.366, 0.634, 0.331], [0.634, 0.366, 0.831], [0.008, 0.992, 0.772], [0.219, 0.781, 0.963], [0.781, 0.219, 0.463], [0.992, 0.008, 0.272]]
}


Record 4
{
  "formula": "BaZrSb2",
  "functional": "PBE",
  "state": "optimized geometry",
  "e_form_raw_ev_per_atom": -0.23,
  "dos_ef_per_ev_atom": 0.794,
  "final_energy_ev_per_atom": -4.9082,
  "polymorph_energy_kj_per_mol_atoms": 54.5,
  "lattice_angstrom": [[-2.313, 2.313, 5.534], [2.313, -2.313, 5.534], [2.313, 2.313, -5.534]],
  "species": ["Ba", "Zr", "Sb", "Sb"],
  "fractional_positions": [[0.000, 0.000, 0.000], [0.750, 0.250, 0.500], [0.250, 0.750, 0.500], [0.500, 0.500, 0.000]]
}


Record 5
{
  "formula": "Tb2Al2Ru5W",
  "functional": "PBE",
  "state": "optimized geometry",
  "e_form_mev_per_atom": -370.8,
  "dos_ef_per_ev_atom": 0.571,
  "final_energy_ev_per_atom": -7.9786,
  "lattice_angstrom": [[10.167, 0.000, 0.000], [0.000, 10.167, 0.000], [0.000, 0.000, 3.245]],
  "species": ["Tb", "Tb", "Tb", "Tb", "Al", "Al", "Al", "Al", "Ru", "Ru", "Ru", "Ru", "Ru", "Ru", "Ru", "Ru", "Ru", "Ru", "W", "W"],
  "fractional_positions": [[0.172, 0.328, 0.000], [0.328, 0.828, 0.000], [0.672, 0.172, 0.000], [0.828, 0.672, 0.000], [0.127, 0.627, 0.000], [0.373, 0.127, 0.000], [0.627, 0.873, 0.000], [0.873, 0.373, 0.000], [0.000, 0.500, 0.500], [0.065, 0.803, 0.500], [0.197, 0.065, 0.500], [0.303, 0.565, 0.500], [0.435, 0.303, 0.500], [0.500, 0.000, 0.500], [0.565, 0.697, 0.500], [0.697, 0.435, 0.500], [0.803, 0.935, 0.500], [0.935, 0.197, 0.500], [0.000, 0.000, 0.000], [0.500, 0.500, 0.000]]
}


Record 6
{
  "formula": "Ba2SrSe",
  "functional": "PBE",
  "state": "optimized geometry",
  "e_form_raw_ev_per_atom": -0.77,
  "dos_ef_per_ev_atom": 0.540,
  "final_energy_ev_per_atom": -3.0226,
  "polymorph_energy_kj_per_mol_atoms": 15.1,
  "lattice_angstrom": [[-5.815, 5.815, 3.083], [5.815, -5.815, 3.083], [5.815, 5.815, -3.083]],
  "species": ["Ba", "Ba", "Ba", "Ba", "Sr", "Sr", "Se", "Se"],
  "fractional_positions": [[0.375, 0.010, 0.135], [0.760, 0.625, 0.635], [0.875, 0.240, 0.865], [0.990, 0.125, 0.365], [0.250, 0.750, 0.500], [0.500, 0.500, 0.000], [0.000, 0.000, 0.000], [0.750, 0.250, 0.500]]
}


Record 7
{
  "formula": "Rb4Cd3Cl10",
  "functional": "PBE",
  "state": "optimized geometry",
  "e_form_raw_ev_per_atom": -1.51,
  "dos_ef_per_ev_atom": 0.000,
  "final_energy_ev_per_atom": -2.9836,
  "lattice_angstrom": [[-2.646, 2.646, 18.606], [2.646, -2.646, 18.606], [2.646, 2.646, -18.606]],
  "species": ["Rb", "Rb", "Rb", "Rb", "Cd", "Cd", "Cd", "Cl", "Cl", "Cl", "Cl", "Cl", "Cl", "Cl", "Cl", "Cl", "Cl"],
  "fractional_positions": [[0.068, 0.068, 0.000], [0.200, 0.200, 0.000], [0.800, 0.800, 0.000], [0.932, 0.932, 0.000], [0.357, 0.357, 0.000], [0.500, 0.500, 0.000], [0.643, 0.643, 0.000], [0.000, 0.500, 0.500], [0.139, 0.639, 0.500], [0.288, 0.288, 0.000], [0.361, 0.861, 0.500], [0.429, 0.429, 0.000], [0.500, 0.000, 0.500], [0.571, 0.571, 0.000], [0.639, 0.139, 0.500], [0.712, 0.712, 0.000], [0.861, 0.361, 0.500]]
}


Record 8
{
  "formula": "CeAgH2",
  "functional": "PBE",
  "state": "optimized geometry",
  "dos_ef_per_ev_atom": 1.540,
  "final_energy_ev_per_atom": -4.0997,
  "lattice_angstrom": [[1.958, 1.130, 4.686], [-1.958, 1.130, 4.686], [0.000, -2.260, 4.686]],
  "species": ["Ce", "Ag", "H", "H"],
  "fractional_positions": [[0.000, 0.000, 0.000], [0.500, 0.500, 0.500], [0.339, 0.339, 0.339], [0.661, 0.661, 0.661]]
}


Record 9
{
  "formula": "Rb3AgB",
  "functional": "PBE",
  "state": "optimized geometry",
  "e_form_mev_per_atom": 831.9,
  "dos_ef_per_ev_atom": 0.487,
  "final_energy_ev_per_atom": -1.6544,
  "polymorph_energy_kj_per_mol_atoms": 0.0,
  "lattice_angstrom": [[6.358, 0.000, 0.000], [0.000, 6.358, 0.000], [0.000, 0.000, 6.358]],
  "species": ["Rb", "Rb", "Rb", "Ag", "B"],
  "fractional_positions": [[0.000, 0.000, 0.500], [0.000, 0.500, 0.000], [0.500, 0.000, 0.000], [0.500, 0.500, 0.500], [0.000, 0.000, 0.000]]
}


Record 10
{
  "formula": "SbMoS",
  "functional": "PBE",
  "state": "optimized geometry",
  "e_form_raw_ev_per_atom": -0.29,
  "dos_ef_per_ev_atom": 0.606,
  "final_energy_ev_per_atom": -6.6513,
  "polymorph_energy_kj_per_mol_atoms": 0.0,
  "lattice_angstrom": [[7.642, -1.570, 0.000], [7.642, 1.570, 0.000], [-0.676, 0.000, 5.467]],
  "species": ["Sb", "Sb", "Mo", "Mo", "S", "S"],
  "fractional_positions": [[0.039, 0.039, 0.264], [0.961, 0.961, 0.736], [0.304, 0.304, 0.668], [0.696, 0.696, 0.332], [0.302, 0.302, 0.234], [0.698, 0.698, 0.766]]
}


Record 11
{
  "formula": "TlGa",
  "functional": "PBE",
  "state": "optimized geometry",
  "e_form_mev_per_atom": 108.5,
  "dos_ef_per_ev_atom": 0.671,
  "final_energy_ev_per_atom": -2.5880,
  "lattice_angstrom": [[-4.416, 4.416, 2.671], [4.416, -4.416, 2.671], [4.416, 4.416, -2.671]],
  "species": ["Tl", "Tl", "Tl", "Tl", "Ga", "Ga", "Ga", "Ga"],
  "fractional_positions": [[0.000, 0.297, 0.297], [0.000, 0.703, 0.703], [0.297, 0.000, 0.297], [0.703, 0.000, 0.703], [0.347, 0.347, 0.694], [0.347, 0.653, 0.000], [0.653, 0.347, 0.000], [0.653, 0.653, 0.306]]
}


Record 12
{
  "formula": "La2CdBi2",
  "functional": "PBE",
  "state": "optimized geometry",
  "e_form_mev_per_atom": -383.5,
  "dos_ef_per_ev_atom": 1.047,
  "final_energy_ev_per_atom": -4.0899,
  "polymorph_energy_kj_per_mol_atoms": 30.1,
  "lattice_angstrom": [[-3.203, 3.203, 4.691], [3.203, -3.203, 4.691], [3.203, 3.203, -4.691]],
  "species": ["La", "La", "Cd", "Bi", "Bi"],
  "fractional_positions": [[0.250, 0.750, 0.500], [0.750, 0.250, 0.500], [0.000, 0.000, 0.000], [0.317, 0.317, 0.000], [0.683, 0.683, 0.000]]
}


Record 13
{
  "formula": "SrIn4Pb",
  "functional": "PBE",
  "state": "optimized geometry",
  "e_form_mev_per_atom": -168.1,
  "dos_ef_per_ev_atom": 0.763,
  "final_energy_ev_per_atom": -2.8921,
  "polymorph_energy_kj_per_mol_atoms": 3.1,
  "lattice_angstrom": [[0.000, 4.458, 4.458], [4.458, 0.000, 4.458], [4.458, 4.458, 0.000]],
  "species": ["Sr", "In", "In", "In", "In", "Pb"],
  "fractional_positions": [[0.000, 0.000, 0.000], [0.127, 0.624, 0.624], [0.624, 0.127, 0.624], [0.624, 0.624, 0.127], [0.624, 0.624, 0.624], [0.250, 0.250, 0.250]]
}


Record 14
{
  "formula": "TiB2Ru2",
  "functional": "PBE",
  "state": "optimized geometry",
  "e_form_mev_per_atom": -335.0,
  "dos_ef_per_ev_atom": 0.460,
  "final_energy_ev_per_atom": -8.2953,
  "lattice_angstrom": [[-1.889, 1.889, 4.067], [1.889, -1.889, 4.067], [1.889, 1.889, -4.067]],
  "species": ["Ti", "B", "B", "Ru", "Ru"],
  "fractional_positions": [[0.000, 0.000, 0.000], [0.389, 0.389, 0.000], [0.611, 0.611, 0.000], [0.250, 0.750, 0.500], [0.750, 0.250, 0.500]]
}


Record 15
{
  "formula": "CoPS3",
  "functional": "PBE",
  "state": "optimized geometry",
  "e_form_raw_ev_per_atom": 0.71,
  "dos_ef_per_ev_atom": 1.101,
  "final_energy_ev_per_atom": -4.2721,
  "polymorph_energy_kj_per_mol_atoms": 89.0,
  "lattice_angstrom": [[4.374, 0.000, 0.000], [0.000, 4.374, 0.000], [0.000, 0.000, 4.374]],
  "species": ["Co", "P", "S", "S", "S"],
  "fractional_positions": [[0.000, 0.000, 0.000], [0.500, 0.500, 0.500], [0.000, 0.000, 0.500], [0.000, 0.500, 0.000], [0.500, 0.000, 0.000]]
}


Record 16
{
  "formula": "LaGeN",
  "functional": "PBE",
  "state": "optimized geometry",
  "e_form_raw_ev_per_atom": -0.78,
  "dos_ef_per_ev_atom": 0.225,
  "final_energy_ev_per_atom": -6.7383,
  "polymorph_energy_kj_per_mol_atoms": 0.0,
  "lattice_angstrom": [[2.120, -6.193, 0.000], [2.120, 6.193, 0.000], [0.000, 0.000, 4.906]],
  "species": ["La", "La", "Ge", "Ge", "N", "N"],
  "fractional_positions": [[0.149, 0.851, 0.500], [0.851, 0.149, 0.000], [0.452, 0.548, 0.425], [0.548, 0.452, 0.925], [0.315, 0.685, 0.244], [0.685, 0.315, 0.744]]
}


Record 17
{
  "formula": "Cu4NiRh",
  "functional": "PBE",
  "state": "optimized geometry",
  "e_form_mev_per_atom": 161.3,
  "dos_ef_per_ev_atom": 1.379,
  "final_energy_ev_per_atom": -4.7583,
  "polymorph_energy_kj_per_mol_atoms": 11.3,
  "lattice_angstrom": [[0.000, 3.339, 3.339], [3.339, 0.000, 3.339], [3.339, 3.339, 0.000]],
  "species": ["Cu", "Cu", "Cu", "Cu", "Ni", "Rh"],
  "fractional_positions": [[0.125, 0.125, 0.125], [0.125, 0.125, 0.625], [0.125, 0.625, 0.125], [0.625, 0.125, 0.125], [0.750, 0.750, 0.750], [0.500, 0.500, 0.500]]
}


Record 18
{
  "formula": "PmBeSi2Pt",
  "functional": "PBE",
  "state": "optimized geometry",
  "e_form_raw_ev_per_atom": -0.81,
  "dos_ef_per_ev_atom": 0.291,
  "final_energy_ev_per_atom": -5.8862,
  "lattice_angstrom": [[-2.010, 2.010, 5.110], [2.010, -2.010, 5.110], [2.010, 2.010, -5.110]],
  "species": ["Pm", "Be", "Si", "Si", "Pt"],
  "fractional_positions": [[0.000, 0.000, 0.000], [0.750, 0.250, 0.500], [0.382, 0.382, 0.000], [0.618, 0.618, 0.000], [0.250, 0.750, 0.500]]
}


Record 19
{
  "formula": "KRb2PdPt",
  "functional": "PBE",
  "state": "optimized geometry",
  "e_form_mev_per_atom": 790.7,
  "dos_ef_per_ev_atom": 0.740,
  "final_energy_ev_per_atom": -2.0626,
  "lattice_angstrom": [[6.560, 0.000, 0.000], [0.000, 6.560, 0.000], [0.000, 0.000, 5.309]],
  "species": ["K", "Rb", "Rb", "Pd", "Pt"],
  "fractional_positions": [[0.000, 0.000, 0.000], [0.000, 0.500, 0.000], [0.500, 0.000, 0.000], [0.500, 0.500, 0.500], [0.000, 0.000, 0.500]]
}


Record 20
{
  "formula": "ZrCrTe2",
  "functional": "PBE",
  "state": "optimized geometry",
  "e_form_raw_ev_per_atom": -0.17,
  "dos_ef_per_ev_atom": 0.985,
  "final_energy_ev_per_atom": -6.2852,
  "polymorph_energy_kj_per_mol_atoms": 24.3,
  "lattice_angstrom": [[0.000, 3.528, 3.528], [3.528, 0.000, 3.528], [3.528, 3.528, 0.000]],
  "species": ["Zr", "Cr", "Te", "Te"],
  "fractional_positions": [[0.000, 0.000, 0.000], [0.500, 0.500, 0.500], [0.250, 0.250, 0.250], [0.750, 0.750, 0.750]]
}


Record 21
{
  "formula": "EuThTlAg",
  "functional": "PBE",
  "state": "optimized geometry",
  "e_form_mev_per_atom": -155.6,
  "dos_ef_per_ev_atom": 1.792,
  "final_energy_ev_per_atom": -5.8836,
  "lattice_angstrom": [[0.000, 3.850, 3.850], [3.850, 0.000, 3.850], [3.850, 3.850, 0.000]],
  "species": ["Eu", "Th", "Tl", "Ag"],
  "fractional_positions": [[0.000, 0.000, 0.000], [0.500, 0.500, 0.500], [0.750, 0.750, 0.750], [0.250, 0.250, 0.250]]
}


Record 22
{
  "formula": "TaReAs3",
  "functional": "PBE",
  "state": "optimized geometry",
  "e_form_mev_per_atom": 1208.1,
  "dos_ef_per_ev_atom": 1.221,
  "final_energy_ev_per_atom": -6.4418,
  "polymorph_energy_kj_per_mol_atoms": 0.0,
  "lattice_angstrom": [[4.800, 0.000, 0.000], [0.000, 4.800, 0.000], [0.000, 0.000, 4.800]],
  "species": ["Ta", "Re", "As", "As", "As"],
  "fractional_positions": [[0.000, 0.000, 0.000], [0.500, 0.500, 0.500], [0.000, 0.500, 0.500], [0.500, 0.000, 0.500], [0.500, 0.500, 0.000]]
}


Record 23
{
  "formula": "AlZn2Br",
  "functional": "PBE",
  "state": "optimized geometry",
  "e_form_raw_ev_per_atom": 0.09,
  "dos_ef_per_ev_atom": 0.354,
  "final_energy_ev_per_atom": -1.9025,
  "polymorph_energy_kj_per_mol_atoms": 27.2,
  "lattice_angstrom": [[6.457, -1.570, 0.000], [6.457, 1.570, 0.000], [-1.933, 0.000, 5.031]],
  "species": ["Al", "Zn", "Zn", "Br"],
  "fractional_positions": [[0.000, 0.000, 0.000], [0.329, 0.329, 0.992], [0.671, 0.671, 0.008], [0.500, 0.500, 0.500]]
}


Record 24
{
  "formula": "Sr3InCo",
  "functional": "PBE",
  "state": "optimized geometry",
  "e_form_mev_per_atom": 152.7,
  "dos_ef_per_ev_atom": 1.083,
  "final_energy_ev_per_atom": -2.8252,
  "polymorph_energy_kj_per_mol_atoms": 0.0,
  "lattice_angstrom": [[5.670, 0.000, 0.000], [0.000, 5.670, 0.000], [0.000, 0.000, 5.670]],
  "species": ["Sr", "Sr", "Sr", "In", "Co"],
  "fractional_positions": [[0.000, 0.000, 0.500], [0.000, 0.500, 0.000], [0.500, 0.000, 0.000], [0.500, 0.500, 0.500], [0.000, 0.000, 0.000]]
}


Record 25
{
  "formula": "BeCoN3",
  "functional": "PBE",
  "state": "optimized geometry",
  "e_form_raw_ev_per_atom": 1.71,
  "dos_ef_per_ev_atom": 0.883,
  "final_energy_ev_per_atom": -5.4489,
  "lattice_angstrom": [[3.610, 0.000, 0.000], [0.000, 3.610, 0.000], [0.000, 0.000, 3.610]],
  "species": ["Be", "Co", "N", "N", "N"],
  "fractional_positions": [[0.000, 0.000, 0.000], [0.500, 0.500, 0.500], [0.000, 0.500, 0.500], [0.500, 0.000, 0.500], [0.500, 0.500, 0.000]]
}


Record 26
{
  "formula": "HoTlZnNi",
  "functional": "PBE",
  "state": "optimized geometry",
  "e_form_mev_per_atom": -174.3,
  "dos_ef_per_ev_atom": 0.758,
  "final_energy_ev_per_atom": -3.6741,
  "lattice_angstrom": [[0.000, 3.350, 3.350], [3.350, 0.000, 3.350], [3.350, 3.350, 0.000]],
  "species": ["Ho", "Tl", "Zn", "Ni"],
  "fractional_positions": [[0.000, 0.000, 0.000], [0.500, 0.500, 0.500], [0.750, 0.750, 0.750], [0.250, 0.250, 0.250]]
}